{
  "formula": "BeCdRu",
  "functional": "PBE-GGA",
  "state": "relaxed",
  "de_polymorph_ev_per_atom": 0.233,
  "ef_ev_per_fu": 0.97,
  "vol_a3_per_atom": 14.39,
  "dft_energy_ev_per_atom": -4.32,
  "magmom_total_mub_per_fu": 0.00,
  "n_ef_per_ev_atom": 0.790,
  "sg": "P3m1",
  "lattice_angstrom": [[-3.057, -0.306, -2.771], [0.904, -3.212, 2.446], [-1.895, 0.977, 1.983]],
  "species": ["Ru", "Cd", "Be"],
  "fractional_positions": [[0.333, 0.667, 0.752], [0.667, 0.333, 0.261], [0.000, 0.000, 0.986]]
}

{
  "formula": "BeCdRu2",
  "functional": "PBE-GGA",
  "state": "relaxed",
  "de_polymorph_ev_per_atom": 0.425,
  "ef_ev_per_fu": 1.89,
  "vol_a3_per_atom": 14.33,
  "dft_energy_ev_per_atom": -5.33,
  "magmom_total_mub_per_fu": 1.90,
  "n_ef_per_ev_atom": 1.099,
  "sg": "Fm-3m",
  "lattice_angstrom": [[3.382, -2.271, 1.462], [1.484, 0.667, 4.011], [-0.575, -3.016, 3.050]],
  "species": ["Ru", "Be", "Ru", "Cd"],
  "fractional_positions": [[0.250, 0.250, 0.250], [0.000, 0.000, 0.000], [0.750, 0.750, 0.750], [0.500, 0.500, 0.500]]
}

{
  "formula": "BeCdRu2",
  "functional": "PBE-GGA",
  "state": "relaxed",
  "de_polymorph_ev_per_atom": 0.128,
  "ef_ev_per_fu": 0.70,
  "vol_a3_per_atom": 13.90,
  "dft_energy_ev_per_atom": -5.62,
  "magmom_total_mub_per_fu": 0.00,
  "n_ef_per_ev_atom": 1.025,
  "sg": "Immm",
  "lattice_angstrom": [[5.135, 0.000, 0.009], [4.346, 2.735, 0.009], [1.899, 0.548, 3.962]],
  "species": ["Cd", "Ru", "Be", "Ru"],
  "fractional_positions": [[0.250, 0.250, 0.250], [0.460, 0.460, 0.540], [0.750, 0.750, 0.750], [0.040, 0.040, 0.960]]
}

{
  "formula": "BeCdRu2",
  "functional": "PBE-GGA",
  "state": "relaxed",
  "de_polymorph_ev_per_atom": 0.000,
  "ef_ev_per_fu": 0.19,
  "vol_a3_per_atom": 14.01,
  "dft_energy_ev_per_atom": -5.75,
  "magmom_total_mub_per_fu": 0.00,
  "n_ef_per_ev_atom": 0.437,
  "sg": "P4mm",
  "lattice_angstrom": [[-1.910, 0.792, 2.014], [1.735, -1.043, 2.056], [4.750, 4.954, 2.558]],
  "species": ["Cd", "Ru", "Ru", "Be"],
  "fractional_positions": [[0.500, 0.771, 0.729], [0.500, 0.219, 0.281], [0.000, 0.965, 0.035], [0.000, 0.544, 0.456]]
}